Record 1
{"formula": "InSbPb", "functional": "PBE", "state": "optimized geometry", "cell": [[-2.2157, 4.1736, -5.1326], [-5.2094, -0.3982, 1.9251], [3.2598, 3.8298, 9.6134]], "species": ["In", "In", "In", "In", "Sb", "Sb", "Sb", "Sb", "Pb", "Pb", "Pb", "Pb"], "fractional_positions": [[0.7579, 0.0000, 0.6448], [0.2421, 0.0000, 0.3552], [0.7579, 0.5000, 0.1448], [0.2421, 0.5000, 0.8552], [0.1773, 0.0000, 0.9592], [0.8227, 0.0000, 0.0408], [0.1773, 0.5000, 0.4592], [0.8227, 0.5000, 0.5408], [0.6612, 0.0000, 0.2922], [0.3388, 0.0000, 0.7078], [0.6612, 0.5000, 0.7922], [0.3388, 0.5000, 0.2078]], "e_form_raw_ev_per_atom": 0.05, "magnetic_moment_mub_per_fu": 0.00, "dos_ef_per_ev_atom": 0.530, "sg": "C2/m", "polymorph_energy_ev_per_atom": 0.032}


Record 2
{"formula": "CsRb2Br", "functional": "PBE", "state": "optimized geometry", "cell": [[0.0000, 5.1654, 5.1654], [5.1654, 0.0000, 5.1654], [5.1654, 5.1654, 0.0000]], "species": ["Cs", "Br", "Rb", "Rb"], "fractional_positions": [[0.5000, 0.5000, 0.5000], [0.0000, 0.0000, 0.0000], [0.2500, 0.2500, 0.2500], [0.7500, 0.7500, 0.7500]], "e_form_raw_ev_per_atom": -0.48, "magnetic_moment_mub_per_fu": 0.00, "dos_ef_per_ev_atom": 0.373, "sg": "Fm-3m", "polymorph_energy_ev_per_atom": 0.337}


Record 3
{"formula": "ErMnCl", "functional": "PBE", "state": "optimized geometry", "cell": [[4.4652, 0.0177, -1.4179], [2.6778, 3.2271, -2.0912], [-1.1462, -2.7496, 10.6793]], "species": ["Mn", "Mn", "Er", "Er", "Cl", "Cl"], "fractional_positions": [[0.8038, 0.6481, 0.7376], [0.1705, 0.0417, 0.7511], [0.5329, 0.0197, 0.5591], [0.6002, 0.0171, 0.0238], [0.1169, 0.0308, 0.2721], [0.9135, 0.1950, 0.9560]], "e_form_raw_ev_per_atom": -0.53, "magnetic_moment_mub_per_fu": 0.00, "dos_ef_per_ev_atom": 0.415, "sg": "Cm"}


Record 4
{"formula": "NiIr2Se", "functional": "PBE", "state": "optimized geometry", "cell": [[-7.1495, 2.3123, 3.6578], [-7.0259, -0.4036, 4.5071], [-5.6307, 1.6085, 5.9623]], "species": ["Ir", "Ir", "Ni", "Se"], "fractional_positions": [[0.0001, 0.0001, 0.0001], [0.2461, 0.2461, 0.2461], [0.4960, 0.4960, 0.4960], [0.7578, 0.7578, 0.7578]], "e_form_raw_ev_per_atom": 0.29, "magnetic_moment_mub_per_fu": 0.00, "dos_ef_per_ev_atom": 1.359, "sg": "R3m", "polymorph_energy_ev_per_atom": 0.048}


Record 5
{"formula": "Mg2Al2Os", "functional": "PBE", "state": "optimized geometry", "cell": [[6.4635, 0.0000, 0.0000], [0.0000, 6.4635, 0.0000], [0.0000, 0.0000, 4.3674]], "species": ["Mg", "Mg", "Mg", "Mg", "Os", "Os", "Al", "Al", "Al", "Al"], "fractional_positions": [[0.1743, 0.6743, 0.5000], [0.6743, 0.8257, 0.5000], [0.8257, 0.3257, 0.5000], [0.3257, 0.1743, 0.5000], [0.0000, 0.0000, 0.0000], [0.5000, 0.5000, 0.0000], [0.3542, 0.8542, 0.0000], [0.8542, 0.6458, 0.0000], [0.6458, 0.1458, 0.0000], [0.1458, 0.3542, 0.0000]], "magnetic_moment_mub_per_fu": 0.00, "dos_ef_per_ev_atom": 0.653, "formation_enthalpy_0k_mev_per_atom": 112, "sg": "P4/mbm"}


Record 6
{"formula": "Ti2Rh2W", "functional": "PBE", "state": "optimized geometry", "cell": [[7.3524, 0.0000, 0.0000], [0.0000, 7.3524, 0.0000], [0.0000, 0.0000, 2.8753]], "species": ["Rh", "Rh", "Rh", "Rh", "W", "W", "Ti", "Ti", "Ti", "Ti"], "fractional_positions": [[0.3667, 0.8667, 0.0000], [0.8667, 0.6333, 0.0000], [0.6333, 0.1333, 0.0000], [0.1333, 0.3667, 0.0000], [0.0000, 0.0000, 0.0000], [0.5000, 0.5000, 0.0000], [0.1664, 0.6664, 0.5000], [0.6664, 0.8336, 0.5000], [0.8336, 0.3336, 0.5000], [0.3336, 0.1664, 0.5000]], "magnetic_moment_mub_per_fu": 0.00, "dos_ef_per_ev_atom": 1.389, "formation_enthalpy_0k_mev_per_atom": -315, "sg": "P4/mbm", "polymorph_energy_ev_per_atom": 0.000}